[1]
Material: BaSi2Bi2
Method: DFT, PBE
State: relaxed

Cell: 4.7909 4.7909 12.8780 Å, 90.00 90.00 90.00°
Closest atoms and distances in Å follow each position.
Element x y z (fractional)
Ba 0.0000 0.0000 0.0000  8 Si 3.57
Ba 0.5000 0.5000 0.5000  8 Si 3.57
Si 0.0000 0.0000 0.4128  1 Si 2.25
Si 0.0000 0.0000 0.5872  1 Si 2.25
Si 0.5000 0.5000 0.0872  1 Si 2.25
Si 0.5000 0.5000 0.9128  1 Si 2.25
Bi 0.0000 0.5000 0.2500  4 Si 3.18, 4 Bi 3.39
Bi 0.0000 0.5000 0.7500  4 Si 3.18, 4 Bi 3.39
Bi 0.5000 0.0000 0.2500  4 Si 3.18, 4 Bi 3.39
Bi 0.5000 0.0000 0.7500  4 Si 3.18, 4 Bi 3.39

- E_form (uncorrected) (eV/atom) = -0.025
- E above lowest polymorph (eV per atom) = 0.000
- magnetic moment (μB/cell) = 0.00

[2]
Material: Ba5Si2Bi
Method: DFT, PBE
State: relaxed

Cell: 10.3640 10.3640 10.3640 Å, 129.66 129.66 73.94°
Closest atoms and distances in Å follow each position.
Element x y z (fractional)
Ba 0.0000 0.0000 0.0000  4 Si 3.62, 8 Ba 3.99
Ba 0.0355 0.5355 0.8485  3 Si 3.41-3.61, 2 Bi 3.74
Ba 0.1870 0.0355 0.5000  3 Si 3.41-3.61, 2 Bi 3.74
Ba 0.3130 0.8129 0.8485  3 Si 3.41-3.61, 2 Bi 3.74
Ba 0.4645 0.3130 0.5000  3 Si 3.41-3.61, 2 Bi 3.74
Ba 0.5000 0.5000 0.0000  4 Si 3.62, 8 Ba 3.99
Ba 0.5355 0.6871 0.5000  3 Si 3.41-3.61, 2 Bi 3.74
Ba 0.6871 0.1870 0.1515  3 Si 3.41-3.61, 2 Bi 3.74
Ba 0.8129 0.9645 0.5000  3 Si 3.41-3.61, 2 Bi 3.74
Ba 0.9645 0.4645 0.1515  3 Si 3.41-3.61, 2 Bi 3.74
Si 0.1021 0.3979 0.5000  1 Si 2.55
Si 0.3979 0.8979 0.2957  1 Si 2.55
Si 0.6021 0.1021 0.7043  1 Si 2.55
Si 0.8979 0.6021 0.5000  1 Si 2.55
Bi 0.2500 0.2500 0.0000  10 Ba 3.74-4.14
Bi 0.7500 0.7500 0.0000  10 Ba 3.74-4.14

- E_form (uncorrected) (eV/atom) = -0.537
- magnetic moment (μB/cell) = 1.78

[3]
Material: BaSiBi3
Method: DFT, PBE
State: relaxed

Cell: 6.2678 6.2678 6.2678 Å, 90.00 90.00 90.00°
Closest atoms and distances in Å follow each position.
Element x y z (fractional)
Ba 0.0000 0.0000 0.0000  6 Bi 3.13
Si 0.5000 0.5000 0.5000  12 Bi 4.43
Bi 0.0000 0.0000 0.5000  2 Ba 3.13
Bi 0.0000 0.5000 0.0000  2 Ba 3.13
Bi 0.5000 0.0000 0.0000  2 Ba 3.13

- E_form (uncorrected) (eV/atom) = 1.328
- E above lowest polymorph (eV per atom) = 1.325
- magnetic moment (μB/cell) = 0.00

[4]
Material: BaSiBi3
Method: DFT, PBE
State: relaxed

Cell: 5.5937 5.5937 5.5937 Å, 90.00 90.00 90.00°
Closest atoms and distances in Å follow each position.
Element x y z (fractional)
Ba 0.0000 0.0000 0.0000  12 Bi 3.96
Si 0.5000 0.5000 0.5000  6 Bi 2.80
Bi 0.0000 0.5000 0.5000  2 Si 2.80
Bi 0.5000 0.0000 0.5000  2 Si 2.80
Bi 0.5000 0.5000 0.0000  2 Si 2.80

- E_form (uncorrected) (eV/atom) = 0.002
- E above lowest polymorph (eV per atom) = 0.000
- magnetic moment (μB/cell) = 0.00

[5]
Material: BaSi2Bi2
Method: DFT, PBE
State: relaxed

Cell: 8.7520 8.7520 3.8239 Å, 90.00 90.00 90.00°
Closest atoms and distances in Å follow each position.
Element x y z (fractional)
Ba 0.0000 0.0000 0.0000  4 Bi 3.43, 2 Ba 3.82
Ba 0.5000 0.5000 0.0000  4 Bi 3.43, 2 Ba 3.82
Si 0.1460 0.3540 0.5000  6 Bi 3.08-3.37
Si 0.3540 0.8540 0.5000  6 Bi 3.08-3.37
Si 0.6460 0.1460 0.5000  6 Bi 3.08-3.37
Si 0.8540 0.6460 0.5000  6 Bi 3.08-3.37
Bi 0.1299 0.6299 0.0000  6 Si 3.08-3.37, 1 Bi 3.22, 2 Ba 3.43
Bi 0.3701 0.1299 0.0000  6 Si 3.08-3.37, 1 Bi 3.22, 2 Ba 3.43
Bi 0.6299 0.8701 0.0000  6 Si 3.08-3.37, 1 Bi 3.22, 2 Ba 3.43
Bi 0.8701 0.3701 0.0000  6 Si 3.08-3.37, 1 Bi 3.22, 2 Ba 3.43

- E_form (uncorrected) (eV/atom) = 0.223
- E above lowest polymorph (eV per atom) = 0.248
- magnetic moment (μB/cell) = 0.00

[6]
Material: BaSi2Bi2
Method: DFT, PBE
State: relaxed

Cell: 5.3524 5.3524 11.0886 Å, 90.00 90.00 90.00°
Closest atoms and distances in Å follow each position.
Element x y z (fractional)
Ba 0.0000 0.0000 0.0000  10 Bi 3.82-4.16, 8 Si 3.85
Ba 0.5000 0.5000 0.5000  10 Bi 3.82-4.16, 8 Si 3.85
Si 0.0000 0.5000 0.2500  4 Bi 2.88
Si 0.0000 0.5000 0.7500  4 Bi 2.88
Si 0.5000 0.0000 0.2500  4 Bi 2.88
Si 0.5000 0.0000 0.7500  4 Bi 2.88
Bi 0.0000 0.0000 0.3447  4 Si 2.88
Bi 0.0000 0.0000 0.6553  4 Si 2.88
Bi 0.5000 0.5000 0.1553  4 Si 2.88
Bi 0.5000 0.5000 0.8447  4 Si 2.88

- E_form (uncorrected) (eV/atom) = -0.005
- E above lowest polymorph (eV per atom) = 0.020
- magnetic moment (μB/cell) = 0.00

[7]
Material: BaSiBi
Method: DFT, PBE
State: relaxed

Cell: 4.1026 5.3562 10.5545 Å, 76.92 89.91 68.76°
Closest atoms and distances in Å follow each position.
Element x y z (fractional)
Ba 0.0000 0.0000 0.0000  3 Si 3.28-3.54
Ba 0.1340 0.7657 0.4102  3 Si 3.31-3.59, 1 Bi 3.65
Si 0.3581 0.2953 0.1682  2 Si 2.41-2.42
Si 0.7703 0.4783 0.2346  2 Si 2.41-2.42
Bi 0.6236 0.7415 0.7414  3 Bi 3.08-3.11
Bi 0.9031 0.2057 0.6409  3 Bi 3.08-3.11

- E_form (uncorrected) (eV/atom) = -0.337
- magnetic moment (μB/cell) = 0.00

[8]
Material: Ba3SiBi
Method: DFT, PBE
State: relaxed

Cell: 9.7281 9.7281 9.7891 Å, 94.69 94.69 27.23°
Closest atoms and distances in Å follow each position.
Element x y z (fractional)
Ba 0.0000 0.0000 0.0000  3 Si 3.44-3.51, 3 Bi 3.68-3.69
Ba 0.1485 0.1485 0.6308  3 Si 3.25-3.38, 1 Bi 3.54
Ba 0.3648 0.3648 0.7597  3 Si 3.25-3.38, 1 Bi 3.54
Ba 0.5137 0.5137 0.3899  3 Si 3.44-3.51, 3 Bi 3.68-3.69
Ba 0.7110 0.7110 0.0215  4 Bi 3.60-3.78, 1 Ba 3.69
Ba 0.8028 0.8028 0.3690  4 Bi 3.60-3.78, 1 Ba 3.69
Si 0.5356 0.5356 0.7427  2 Si 2.67
Si 0.9776 0.9776 0.6471  2 Si 2.67
Bi 0.1483 0.1483 0.2686  8 Ba 3.54-3.78
Bi 0.3654 0.3654 0.1218  8 Ba 3.54-3.78

- E_form (uncorrected) (eV/atom) = -0.548
- E above lowest polymorph (eV per atom) = 0.000
- magnetic moment (μB/cell) = 1.41

[9]
Material: Ba2SiBi
Method: DFT, PBE
State: relaxed

Cell: 8.3935 8.3935 8.3935 Å, 90.00 90.00 90.00°
Closest atoms and distances in Å follow each position.
Element x y z (fractional)
Ba 0.2500 0.2500 0.2500  4 Bi 3.63, 4 Si 3.63
Ba 0.2500 0.2500 0.7500  4 Bi 3.63, 4 Si 3.63
Ba 0.2500 0.7500 0.2500  4 Bi 3.63, 4 Si 3.63
Ba 0.2500 0.7500 0.7500  4 Bi 3.63, 4 Si 3.63
Ba 0.7500 0.2500 0.2500  4 Bi 3.63, 4 Si 3.63
Ba 0.7500 0.2500 0.7500  4 Bi 3.63, 4 Si 3.63
Ba 0.7500 0.7500 0.2500  4 Bi 3.63, 4 Si 3.63
Ba 0.7500 0.7500 0.7500  4 Bi 3.63, 4 Si 3.63
Si 0.0000 0.0000 0.0000  8 Ba 3.63
Si 0.0000 0.5000 0.5000  8 Ba 3.63
Si 0.5000 0.0000 0.5000  8 Ba 3.63
Si 0.5000 0.5000 0.0000  8 Ba 3.63
Bi 0.0000 0.0000 0.5000  8 Ba 3.63
Bi 0.0000 0.5000 0.0000  8 Ba 3.63
Bi 0.5000 0.0000 0.0000  8 Ba 3.63
Bi 0.5000 0.5000 0.5000  8 Ba 3.63

- E_form (uncorrected) (eV/atom) = -0.331
- E above lowest polymorph (eV per atom) = 0.000
- magnetic moment (μB/cell) = 0.00

[10]
Material: Ba2SiBi
Method: DFT, PBE
State: relaxed

Cell: 9.2822 9.2822 7.0788 Å, 90.00 90.00 90.00°
Closest atoms and distances in Å follow each position.
Element x y z (fractional)
Ba 0.2267 0.2500 0.1250  2 Si 3.25, 2 Bi 3.55, 2 Ba 3.57
Ba 0.2500 0.7267 0.3750  2 Si 3.25, 2 Bi 3.55, 2 Ba 3.57
Ba 0.2500 0.7733 0.8750  2 Si 3.25, 2 Bi 3.55, 2 Ba 3.57
Ba 0.2733 0.2500 0.6250  2 Si 3.25, 2 Bi 3.55, 2 Ba 3.57
Ba 0.7267 0.7500 0.6250  2 Si 3.25, 2 Bi 3.55, 2 Ba 3.57
Ba 0.7500 0.2267 0.8750  2 Si 3.25, 2 Bi 3.55, 2 Ba 3.57
Ba 0.7500 0.2733 0.3750  2 Si 3.25, 2 Bi 3.55, 2 Ba 3.57
Ba 0.7733 0.7500 0.1250  2 Si 3.25, 2 Bi 3.55, 2 Ba 3.57
Si 0.0000 0.0000 0.0000  4 Ba 3.25, 2 Bi 3.54
Si 0.0000 0.5000 0.2500  4 Ba 3.25, 2 Bi 3.54
Si 0.5000 0.0000 0.7500  4 Ba 3.25, 2 Bi 3.54
Si 0.5000 0.5000 0.5000  4 Ba 3.25, 2 Bi 3.54
Bi 0.0000 0.0000 0.5000  2 Si 3.54, 4 Ba 3.55
Bi 0.0000 0.5000 0.7500  2 Si 3.54, 4 Ba 3.55
Bi 0.5000 0.0000 0.2500  2 Si 3.54, 4 Ba 3.55
Bi 0.5000 0.5000 0.0000  2 Si 3.54, 4 Ba 3.55

- E_form (uncorrected) (eV/atom) = -0.154
- E above lowest polymorph (eV per atom) = 0.177
- magnetic moment (μB/cell) = 0.00

[11]
Material: BaSiSnBi2
Method: DFT, PBE
State: relaxed

Cell: 6.2589 6.2589 5.6512 Å, 90.00 90.00 90.00°
Closest atoms and distances in Å follow each position.
Element x y z (fractional)
Ba 0.0000 0.0000 0.0000  2 Si 2.83, 4 Bi 3.13
Si 0.0000 0.0000 0.5000  2 Ba 2.83
Sn 0.5000 0.5000 0.5000  8 Bi 4.22, 4 Si 4.43
Bi 0.0000 0.5000 0.0000  2 Ba 3.13
Bi 0.5000 0.0000 0.0000  2 Ba 3.13

- E_form (uncorrected) (eV/atom) = 1.123
- magnetic moment (μB/cell) = 0.00

[12]
Material: Ba2VSiBi
Method: DFT, PBE
State: relaxed

Cell: 6.2370 6.2370 5.1710 Å, 90.00 90.00 90.00°
Closest atoms and distances in Å follow each position.
Element x y z (fractional)
Ba 0.0000 0.5000 0.0000  2 V 3.12
Ba 0.5000 0.0000 0.0000  2 V 3.12
V 0.0000 0.0000 0.0000  2 Bi 2.59
Si 0.5000 0.5000 0.5000  8 Ba 4.05, 4 Bi 4.41
Bi 0.0000 0.0000 0.5000  2 V 2.59

- E_form (uncorrected) (eV/atom) = 0.519
- magnetic moment (μB/cell) = 4.99